Entry 1:
56
Lattice="6.292 0.000 0.000 0.000 6.820 0.000 0.000 0.000 16.688" Properties=species:S:1:pos:R:3 comment="Na2VS2O9 (PBEsol, optimized geometry)" density_g_cm3=2.83 total_energy_ev_per_atom=-6.697 pbc="T T T"
Na 1.759 4.270 15.302
Na 4.533 0.860 9.730
Na 0.830 6.136 12.415
Na 1.387 2.551 6.958
Na 5.462 2.726 12.616
Na 3.976 4.095 4.272
Na 2.316 0.685 4.072
Na 4.905 5.961 1.386
V 0.226 2.349 1.511
V 2.920 4.472 9.855
V 3.372 1.061 15.176
V 6.066 5.759 6.833
S 5.390 0.649 4.152
S 0.902 4.059 4.192
S 6.055 4.036 9.506
S 0.238 0.626 15.525
S 2.909 6.194 7.182
S 4.048 6.171 12.496
S 2.244 2.761 12.536
S 3.384 2.784 1.162
O 4.890 4.851 9.941
O 0.072 3.674 2.984
O 0.127 0.920 3.091
O 1.428 1.599 12.220
O 0.160 0.648 0.337
O 2.986 6.172 8.681
O 2.819 0.748 6.724
O 6.165 4.331 5.253
O 3.218 6.557 13.704
O 3.273 2.490 13.597
O 2.204 2.072 1.754
O 4.549 1.969 1.597
O 6.132 4.058 8.007
O 4.896 0.473 12.042
O 0.942 4.748 10.098
O 1.718 5.221 3.876
O 5.350 1.338 14.934
O 4.574 1.811 4.468
O 2.867 3.398 8.658
O 4.542 6.347 3.698
O 4.864 5.010 12.812
O 3.074 3.147 11.328
O 0.327 6.072 15.068
O 1.396 3.884 12.989
O 1.750 2.937 4.645
O 6.220 0.264 5.360
O 1.744 5.380 6.747
O 3.306 2.762 16.351
O 4.088 5.483 6.590
O 0.279 3.422 0.314
O 5.965 2.662 9.964
O 3.019 5.900 11.434
O 3.425 6.808 16.374
O 1.403 1.441 15.090
O 6.014 0.012 8.030
O 3.473 4.159 1.620

---

Entry 2:
20
Lattice="-1.346 -4.956 -1.726 5.229 -0.947 -1.357 1.322 -2.818 7.061" Properties=species:S:1:pos:R:3 comment="NaSbO3 (PBEsol, optimized geometry)" density_g_cm3=5.58 total_energy_ev_per_atom=-5.931 pbc="T T T"
Na 2.471 -3.736 0.155
Na 5.999 -3.064 3.979
Na -0.794 -5.657 0.000
Na 2.735 -4.985 3.823
Sb 2.614 -0.474 -0.679
Sb -0.673 -2.478 -0.863
Sb -0.012 -3.887 2.668
Sb 3.275 -1.882 2.852
O 1.205 -5.033 1.589
O 1.517 -2.730 3.236
O 3.150 -4.844 -2.130
O 4.538 -4.834 5.261
O 4.000 -3.688 2.389
O 3.688 -5.990 0.742
O 2.055 -3.876 6.108
O 0.667 -3.887 -1.283
O 4.874 -3.657 -0.264
O 2.516 -7.118 3.013
O 2.689 -1.603 0.965
O 0.331 -5.064 4.242

---

Entry 3:
38
Lattice="5.566 0.001 0.000 -1.635 5.320 0.000 0.000 0.000 16.614" Properties=species:S:1:pos:R:3 comment="NaSb5O13 (PBEsol, optimized geometry)" density_g_cm3=5.67 total_energy_ev_per_atom=-6.296 pbc="T T T"
Na 4.664 0.685 12.461
Na -0.716 4.660 4.154
Sb 1.145 3.278 1.325
Sb 2.797 2.058 15.289
Sb 0.006 0.008 0.000
Sb 1.145 3.278 6.982
Sb 2.797 2.058 9.632
Sb 0.006 0.008 8.307
Sb 3.899 1.244 5.995
Sb 3.899 1.244 2.312
Sb 0.043 4.093 14.303
Sb 0.043 4.093 10.619
O 2.858 0.363 14.351
O -0.493 2.839 6.044
O -0.493 2.839 2.264
O 2.858 0.363 10.571
O 1.228 1.662 0.000
O 1.228 1.662 8.307
O -1.533 5.257 10.225
O -0.412 4.431 12.461
O 0.000 4.124 16.439
O 0.000 4.124 8.482
O 1.592 2.945 10.881
O 2.347 2.388 2.574
O 3.942 1.212 8.132
O 5.475 0.080 6.390
O 2.347 2.388 5.734
O 5.475 0.080 1.917
O 4.356 0.908 4.154
O 3.942 1.212 0.175
O -1.533 5.257 14.697
O 1.592 2.945 14.041
O 2.714 3.674 8.307
O 2.714 3.674 0.000
O 1.085 4.973 6.042
O 4.434 2.499 10.572
O 4.434 2.499 14.350
O 1.085 4.973 2.265

---

Volume / Å³/cell: 716, 229, 492